Record 1
DFT (PBE) results for crystalline Pr4AlCu at its relaxed geometry.

Computed properties:
Electronic total energy (hartree per atom): -0.1691
Space-group type: No. 15

Cell lengths 8.436, 8.436, 5.849 Å; angles 101.72, 101.72, 116.25 degrees
Fractional coordinates of all 12 atoms:
Pr1 0.073 0.692 0.924
Pr2 0.218 0.369 0.656
Pr3 0.308 0.927 0.576
Pr4 0.369 0.218 0.156
Pr5 0.631 0.782 0.844
Pr6 0.692 0.073 0.424
Pr7 0.782 0.631 0.344
Pr8 0.927 0.308 0.076
Al1 0.381 0.619 0.250
Al2 0.619 0.381 0.750
Cu1 0.004 0.996 0.250
Cu2 0.996 0.004 0.750

Record 2
DFT (PBE) results for crystalline LiCoIr2 at its relaxed geometry.

Computed properties:
Electronic total energy (hartree per atom): -0.2435
Space-group type: No. 47

Cell lengths 2.733, 4.303, 4.534 Å; angles 90.00, 90.00, 90.00 degrees
Fractional coordinates of all 4 atoms:
Li1 0.000 0.000 0.000
Co1 0.500 0.000 0.500
Ir1 0.000 0.500 0.500
Ir2 0.500 0.500 0.000

Record 3
DFT (PBE) results for crystalline CdInNiIr at its relaxed geometry.

Computed properties:
Electronic total energy (hartree per atom): -0.1666
Space-group type: No. 216

Cell lengths 4.539, 4.539, 4.539 Å; angles 60.00, 60.00, 60.00 degrees
Fractional coordinates of all 4 atoms:
Cd1 0.000 0.000 0.000
In1 0.500 0.500 0.500
Ni1 0.250 0.250 0.250
Ir1 0.750 0.750 0.750

Record 4
DFT (PBE) results for crystalline Re2PbF at its relaxed geometry.

Computed properties:
Space-group type: No. 225
Formation energy from raw total energies (meV/atom): 1189.0

Cell lengths 4.552, 4.552, 4.552 Å; angles 60.00, 60.00, 60.00 degrees
Fractional coordinates of all 4 atoms:
Re1 0.250 0.250 0.250
Re2 0.750 0.750 0.750
Pb1 0.000 0.000 0.000
F1 0.500 0.500 0.500

Number 1: N(E_F) 1.021 states/eV/atom. Number 2: N(E_F) 1.100 states/eV/atom. Number 3: N(E_F) 0.884 states/eV/atom. Number 4: N(E_F) 1.002 states/eV/atom.